Model P:
CdFe2Pb | GGA-PBEsol | optimized geometry

Properties
size of the total moment = 4.9 μB per formula unit
density = 10.81 Mg/m³
density of states at the Fermi level = 3.4 states/eV/cell

a = 5.0556 Å, b = 5.0556 Å, c = 5.0556 Å
α = 133.76°, β = 133.76°, γ = 67.46°
Fractional coordinates of all 4 atoms:
Cd (0.0000, 0.0000, 0.0000)
Fe (0.5000, 0.5000, 0.0000)
Fe (0.7500, 0.2500, 0.5000)
Pb (0.2500, 0.7500, 0.5000)

Model Q:
CdFe2Pb | GGA-PBEsol | optimized geometry

Properties
size of the total moment = 5.2 μB per formula unit
density = 10.75 Mg/m³
density of states at the Fermi level = 4.2 states/eV/cell

a = 4.1127 Å, b = 4.1127 Å, c = 3.9380 Å
α = 90.00°, β = 90.00°, γ = 90.00°
Fractional coordinates of all 4 atoms:
Cd (0.0000, 0.0000, 0.0000)
Fe (0.0000, 0.5000, 0.5000)
Fe (0.5000, 0.0000, 0.5000)
Pb (0.5000, 0.5000, 0.0000)

Top of the stability list: model P, leading by 1.0 kJ/mol of atoms.

Model P:
CdFe2Te | GGA-PBEsol | optimized geometry

Properties
size of the total moment = 4.3 μB per formula unit
density = 8.86 Mg/m³
density of states at the Fermi level = 3.3 states/eV/cell

a = 8.2697 Å, b = 8.2697 Å, c = 8.2697 Å
α = 21.40°, β = 21.40°, γ = 21.40°
Fractional coordinates of all 4 atoms:
Cd (0.0000, 0.0000, 0.0000)
Fe (0.2461, 0.2461, 0.2461)
Fe (0.7539, 0.7539, 0.7539)
Te (0.5000, 0.5000, 0.5000)

Model Q:
CdFe2Te | GGA-PBEsol | optimized geometry

Properties
size of the total moment = 4.2 μB per formula unit
density = 8.29 Mg/m³
density of states at the Fermi level = 2.8 states/eV/cell

a = 3.1063 Å, b = 3.1063 Å, c = 7.2990 Å
α = 90.00°, β = 90.00°, γ = 90.00°
Fractional coordinates of all 4 atoms:
Cd (0.0000, 0.0000, 0.0000)
Fe (0.0000, 0.0000, 0.3878)
Fe (0.5000, 0.5000, 0.2242)
Te (0.5000, 0.5000, 0.5913)

Top of the stability list: model Q, leading by 25.6 kJ/mol of atoms.

Model P:
Cd2FeW | GGA-PBEsol | optimized geometry

Properties
size of the total moment = 1.9 μB per formula unit
density = 11.91 Mg/m³
density of states at the Fermi level = 2.4 states/eV/cell

a = 2.9464 Å, b = 4.5739 Å, c = 4.8047 Å
α = 90.00°, β = 90.00°, γ = 90.00°
Fractional coordinates of all 4 atoms:
Cd (0.0000, 0.0000, 0.0000)
Cd (0.5000, 0.5000, 0.0000)
Fe (0.0000, 0.5000, 0.5000)
W (0.5000, 0.0000, 0.5000)

Model Q:
Cd2FeW | GGA-PBEsol | optimized geometry

Properties
size of the total moment = 2.7 μB per formula unit
density = 11.80 Mg/m³
density of states at the Fermi level = 3.1 states/eV/cell

a = 9.6406 Å, b = 9.6406 Å, c = 9.6406 Å
α = 16.81°, β = 16.81°, γ = 16.81°
Fractional coordinates of all 4 atoms:
Cd (0.2460, 0.2460, 0.2460)
Cd (0.7540, 0.7540, 0.7540)
Fe (0.5000, 0.5000, 0.5000)
W (0.0000, 0.0000, 0.0000)

Model R:
Cd2FeW | GGA-PBEsol | optimized geometry

Properties
size of the total moment = 0.4 μB per formula unit
density = 11.73 Mg/m³
density of states at the Fermi level = 3.2 states/eV/cell

a = 5.4371 Å, b = 5.4371 Å, c = 5.4371 Å
α = 148.46°, β = 127.87°, γ = 62.21°
Fractional coordinates of all 4 atoms:
Cd (0.0000, 0.0000, 0.0000)
Cd (0.7206, 0.2206, 0.5000)
Fe (0.2518, 0.7518, 0.5000)
W (0.4404, 0.4404, 0.0000)

Top of the stability list: model Q, leading by 2.5 kJ/mol of atoms.

Model P:
ZrCd3Fe | GGA-PBEsol | optimized geometry

Properties
size of the total moment = 2.3 μB per formula unit
density = 7.43 Mg/m³
density of states at the Fermi level = 2.9 states/eV/cell

a = 4.7652 Å, b = 4.7652 Å, c = 4.7652 Å
α = 90.00°, β = 90.00°, γ = 90.00°
Fractional coordinates of all 5 atoms:
Zr (0.0000, 0.0000, 0.0000)
Cd (0.0000, 0.5000, 0.5000)
Cd (0.5000, 0.0000, 0.5000)
Cd (0.5000, 0.5000, 0.0000)
Fe (0.5000, 0.5000, 0.5000)

Model Q:
ZrCd3Fe | GGA-PBEsol | optimized geometry

Properties
size of the total moment = 2.0 μB per formula unit
density = 5.17 Mg/m³
density of states at the Fermi level = 6.2 states/eV/cell

a = 5.3785 Å, b = 5.3785 Å, c = 5.3785 Å
α = 90.00°, β = 90.00°, γ = 90.00°
Fractional coordinates of all 5 atoms:
Zr (0.0000, 0.0000, 0.0000)
Cd (0.0000, 0.0000, 0.5000)
Cd (0.0000, 0.5000, 0.0000)
Cd (0.5000, 0.0000, 0.0000)
Fe (0.5000, 0.5000, 0.5000)

Top of the stability list: model P, leading by 93.8 kJ/mol of atoms.

Model P:
CdGa2Hg2 | GGA-PBEsol | optimized geometry

Properties
size of the total moment = 0.0 μB per formula unit
density = 10.01 Mg/m³
density of states at the Fermi level = 2.1 states/eV/cell

a = 8.2440 Å, b = 8.2440 Å, c = 8.2440 Å
α = 153.90°, β = 153.90°, γ = 37.25°
Fractional coordinates of all 5 atoms:
Cd (0.0000, 0.0000, 0.0000)
Ga (0.2500, 0.7500, 0.5000)
Ga (0.7500, 0.2500, 0.5000)
Hg (0.4001, 0.4001, 0.0000)
Hg (0.5999, 0.5999, 0.0000)

Model Q:
CdGa2Hg2 | GGA-PBEsol | optimized geometry

Properties
size of the total moment = 0.0 μB per formula unit
density = 10.04 Mg/m³
density of states at the Fermi level = 3.9 states/eV/cell

a = 8.1415 Å, b = 8.1415 Å, c = 3.2591 Å
α = 90.00°, β = 90.00°, γ = 90.00°
Fractional coordinates of all 10 atoms:
Cd (0.0000, 0.0000, 0.0000)
Cd (0.5000, 0.5000, 0.0000)
Ga (0.1261, 0.3739, 0.5000)
Ga (0.3739, 0.8739, 0.5000)
Ga (0.6261, 0.1261, 0.5000)
Ga (0.8739, 0.6261, 0.5000)
Hg (0.1728, 0.6728, 0.0000)
Hg (0.3272, 0.1728, 0.0000)
Hg (0.6728, 0.8272, 0.0000)
Hg (0.8272, 0.3272, 0.0000)

Top of the stability list: model Q, leading by 1.0 kJ/mol of atoms.

Model P:
Cd2Ga2Hg | GGA-PBEsol | optimized geometry

Properties
size of the total moment = 0.0 μB per formula unit
density = 8.84 Mg/m³
density of states at the Fermi level = 2.2 states/eV/cell

a = 7.4243 Å, b = 7.4243 Å, c = 7.4243 Å
α = 149.34°, β = 149.34°, γ = 43.92°
Fractional coordinates of all 5 atoms:
Cd (0.1012, 0.1012, 0.0000)
Cd (0.8988, 0.8988, 0.0000)
Ga (0.2500, 0.7500, 0.5000)
Ga (0.7500, 0.2500, 0.5000)
Hg (0.5000, 0.5000, 0.0000)

Model Q:
Cd2Ga2Hg | GGA-PBEsol | optimized geometry

Properties
size of the total moment = 0.0 μB per formula unit
density = 8.91 Mg/m³
density of states at the Fermi level = 3.9 states/eV/cell

a = 8.4525 Å, b = 8.4525 Å, c = 2.9469 Å
α = 90.00°, β = 90.00°, γ = 90.00°
Fractional coordinates of all 10 atoms:
Cd (0.1790, 0.3210, 0.0000)
Cd (0.3210, 0.8210, 0.0000)
Cd (0.6790, 0.1790, 0.0000)
Cd (0.8210, 0.6790, 0.0000)
Ga (0.1181, 0.6181, 0.5000)
Ga (0.3819, 0.1181, 0.5000)
Ga (0.6181, 0.8819, 0.5000)
Ga (0.8819, 0.3819, 0.5000)
Hg (0.0000, 0.0000, 0.0000)
Hg (0.5000, 0.5000, 0.0000)

Top of the stability list: model Q, leading by 1.3 kJ/mol of atoms.

Model P:
MgCd3Ga | GGA-PBEsol | optimized geometry

Properties
size of the total moment = 0.0 μB per formula unit
density = 5.04 Mg/m³
density of states at the Fermi level = 2.0 states/eV/cell

a = 5.2176 Å, b = 5.2176 Å, c = 5.2176 Å
α = 90.00°, β = 90.00°, γ = 90.00°
Fractional coordinates of all 5 atoms:
Mg (0.0000, 0.0000, 0.0000)
Cd (0.0000, 0.0000, 0.5000)
Cd (0.0000, 0.5000, 0.0000)
Cd (0.5000, 0.0000, 0.0000)
Ga (0.5000, 0.5000, 0.5000)

Model Q:
MgCd3Ga | GGA-PBEsol | optimized geometry

Properties
size of the total moment = 0.0 μB per formula unit
density = 5.29 Mg/m³
density of states at the Fermi level = 2.1 states/eV/cell

a = 5.1341 Å, b = 5.1341 Å, c = 5.1341 Å
α = 90.00°, β = 90.00°, γ = 90.00°
Fractional coordinates of all 5 atoms:
Mg (0.0000, 0.0000, 0.0000)
Cd (0.0000, 0.5000, 0.5000)
Cd (0.5000, 0.0000, 0.5000)
Cd (0.5000, 0.5000, 0.0000)
Ga (0.5000, 0.5000, 0.5000)

Top of the stability list: model Q, leading by 21.7 kJ/mol of atoms.

Model P:
Na2CdGa2 | GGA-PBEsol | optimized geometry

Properties
size of the total moment = 0.0 μB per formula unit
density = 4.34 Mg/m³
density of states at the Fermi level = 2.5 states/eV/cell

a = 7.5197 Å, b = 7.5197 Å, c = 7.5197 Å
α = 148.78°, β = 148.78°, γ = 44.73°
Fractional coordinates of all 5 atoms:
Na (0.2500, 0.7500, 0.5000)
Na (0.7500, 0.2500, 0.5000)
Cd (0.0000, 0.0000, 0.0000)
Ga (0.4116, 0.4116, 0.0000)
Ga (0.5884, 0.5884, 0.0000)

Model Q:
Na2CdGa2 | GGA-PBEsol | optimized geometry

Properties
size of the total moment = 0.0 μB per formula unit
density = 4.00 Mg/m³
density of states at the Fermi level = 2.1 states/eV/cell

a = 9.6044 Å, b = 9.6044 Å, c = 9.6044 Å
α = 158.05°, β = 158.05°, γ = 31.24°
Fractional coordinates of all 5 atoms:
Na (0.1071, 0.1071, 0.0000)
Na (0.8929, 0.8929, 0.0000)
Cd (0.5000, 0.5000, 0.0000)
Ga (0.2500, 0.7500, 0.5000)
Ga (0.7500, 0.2500, 0.5000)

Top of the stability list: model Q, leading by 9.7 kJ/mol of atoms.

Model P:
CdGa2Pb2 | GGA-PBEsol | optimized geometry

Properties
size of the total moment = 0.0 μB per formula unit
density = 9.30 Mg/m³
density of states at the Fermi level = 4.8 states/eV/cell

a = 7.1729 Å, b = 7.1729 Å, c = 4.6236 Å
α = 90.00°, β = 90.00°, γ = 90.00°
Fractional coordinates of all 10 atoms:
Cd (0.0000, 0.0000, 0.0000)
Cd (0.5000, 0.5000, 0.0000)
Ga (0.1280, 0.3720, 0.0000)
Ga (0.3720, 0.8720, 0.0000)
Ga (0.6280, 0.1280, 0.0000)
Ga (0.8720, 0.6280, 0.0000)
Pb (0.1814, 0.6814, 0.5000)
Pb (0.3186, 0.1814, 0.5000)
Pb (0.6814, 0.8186, 0.5000)
Pb (0.8186, 0.3186, 0.5000)

Model Q:
CdGa2Pb2 | GGA-PBEsol | optimized geometry

Properties
size of the total moment = 0.0 μB per formula unit
density = 9.06 Mg/m³
density of states at the Fermi level = 1.9 states/eV/cell

a = 8.9874 Å, b = 8.9874 Å, c = 8.9874 Å
α = 155.78°, β = 155.78°, γ = 34.52°
Fractional coordinates of all 5 atoms:
Cd (0.0000, 0.0000, 0.0000)
Ga (0.2500, 0.7500, 0.5000)
Ga (0.7500, 0.2500, 0.5000)
Pb (0.3921, 0.3921, 0.0000)
Pb (0.6079, 0.6079, 0.0000)

Top of the stability list: model P, leading by 2.5 kJ/mol of atoms.

Model P:
CdGaSn2 | GGA-PBEsol | optimized geometry

Properties
size of the total moment = 0.0 μB per formula unit
density = 7.52 Mg/m³
density of states at the Fermi level = 2.3 states/eV/cell

a = 5.0783 Å, b = 5.0783 Å, c = 5.0783 Å
α = 60.00°, β = 60.00°, γ = 60.00°
Fractional coordinates of all 4 atoms:
Cd (0.0000, 0.0000, 0.0000)
Ga (0.5000, 0.5000, 0.5000)
Sn (0.2500, 0.2500, 0.2500)
Sn (0.7500, 0.7500, 0.7500)

Model Q:
CdGaSn2 | GGA-PBEsol | optimized geometry

Properties
size of the total moment = 0.0 μB per formula unit
density = 7.21 Mg/m³
density of states at the Fermi level = 3.6 states/eV/cell

a = 10.8695 Å, b = 10.8695 Å, c = 10.8695 Å
α = 157.16°, β = 157.16°, γ = 32.52°
Fractional coordinates of all 8 atoms:
Cd (0.0000, 0.0000, 0.0000)
Cd (0.7500, 0.2500, 0.5000)
Ga (0.2500, 0.7500, 0.5000)
Ga (0.5000, 0.5000, 0.0000)
Sn (0.1282, 0.6250, 0.0032)
Sn (0.3750, 0.3782, 0.5032)
Sn (0.6218, 0.1250, 0.9968)
Sn (0.8750, 0.8718, 0.4968)

Top of the stability list: model P, leading by 1.2 kJ/mol of atoms.

Model P:
Zn2CdGa2 | GGA-PBEsol | optimized geometry

Properties
size of the total moment = 0.0 μB per formula unit
density = 7.26 Mg/m³
density of states at the Fermi level = 3.7 states/eV/cell

a = 7.9380 Å, b = 7.9380 Å, c = 2.7794 Å
α = 90.00°, β = 90.00°, γ = 90.00°
Fractional coordinates of all 10 atoms:
Zn (0.1688, 0.3312, 0.0000)
Zn (0.3312, 0.8312, 0.0000)
Zn (0.6688, 0.1688, 0.0000)
Zn (0.8312, 0.6688, 0.0000)
Cd (0.0000, 0.0000, 0.5000)
Cd (0.5000, 0.5000, 0.5000)
Ga (0.1288, 0.6288, 0.5000)
Ga (0.3712, 0.1288, 0.5000)
Ga (0.6288, 0.8712, 0.5000)
Ga (0.8712, 0.3712, 0.5000)

Model Q:
Zn2CdGa2 | GGA-PBEsol | optimized geometry

Properties
size of the total moment = 0.0 μB per formula unit
density = 7.17 Mg/m³
density of states at the Fermi level = 1.8 states/eV/cell

a = 6.4311 Å, b = 6.4311 Å, c = 6.4311 Å
α = 144.65°, β = 144.65°, γ = 50.86°
Fractional coordinates of all 5 atoms:
Zn (0.2500, 0.7500, 0.5000)
Zn (0.7500, 0.2500, 0.5000)
Cd (0.0000, 0.0000, 0.0000)
Ga (0.3942, 0.3942, 0.0000)
Ga (0.6058, 0.6058, 0.0000)

Top of the stability list: model Q, leading by 1.1 kJ/mol of atoms.

Model P:
LaCd2Ge2 | GGA-PBEsol | optimized geometry

Properties
size of the total moment = 0.0 μB per formula unit
density = 7.35 Mg/m³
density of states at the Fermi level = 1.9 states/eV/cell

a = 6.1373 Å, b = 6.1373 Å, c = 6.1373 Å
α = 134.72°, β = 134.72°, γ = 65.97°
Fractional coordinates of all 5 atoms:
La (0.0000, 0.0000, 0.0000)
Cd (0.3725, 0.3725, 0.0000)
Cd (0.6275, 0.6275, 0.0000)
Ge (0.2500, 0.7500, 0.5000)
Ge (0.7500, 0.2500, 0.5000)

Model Q:
LaCd2Ge2 | GGA-PBEsol | optimized geometry

Properties
size of the total moment = 0.0 μB per formula unit
density = 7.63 Mg/m³
density of states at the Fermi level = 2.0 states/eV/cell

a = 6.7918 Å, b = 6.7918 Å, c = 6.7918 Å
α = 143.39°, β = 143.39°, γ = 52.75°
Fractional coordinates of all 5 atoms:
La (0.0000, 0.0000, 0.0000)
Cd (0.2500, 0.7500, 0.5000)
Cd (0.7500, 0.2500, 0.5000)
Ge (0.3969, 0.3969, 0.0000)
Ge (0.6031, 0.6031, 0.0000)

Top of the stability list: model Q, leading by 12.8 kJ/mol of atoms.